# PBE-GGA La3TcN6, optimized geometry
# - formation energy from raw total energies (eV/atom) = -0.436
data_La3TcN6
_space_group_name_H-M_alt 'P 1 21/c 1'
_space_group_IT_number 14
_cell_length_a 5.9021
_cell_length_b 6.1337
_cell_length_c 10.1350
_cell_angle_alpha 90.00
_cell_angle_beta 124.06
_cell_angle_gamma 90.00
loop_
_space_group_symop_operation_xyz
'x,y,z'
'-x,-y,-z'
'-x,y+1/2,-z+1/2'
'x,-y+1/2,z+1/2'
loop_
_atom_site_label
_atom_site_type_symbol
_atom_site_fract_x
_atom_site_fract_y
_atom_site_fract_z
La1 La 0.0000 0.0000 0.0000
La2 La 0.2689 0.0564 0.7469
Tc1 Tc 0.5000 0.0000 0.5000
N1 N 0.1669 0.0491 0.2804
N2 N 0.2852 0.6795 0.0550
N3 N 0.3934 0.2278 0.0712